Below is a relaxed MnV2O crystal, with properties calculated at the GGA+U level.

The value obtained for the total magnetization is 2.7633 μB/atom. The symmetry is I-42d. The electronic total energy comes out at -26.46 eV/f.u.

a b c (Å): 6.467 6.467 7.180
angles (deg): 90.00 90.00 90.00
Sites, in units of the cell vectors:
Mn 0.000 0.000 0.000
Mn 0.000 0.500 0.250
Mn 0.500 0.000 0.750
Mn 0.500 0.500 0.500
V 0.116 0.250 0.625
V 0.250 0.616 0.875
V 0.250 0.884 0.375
V 0.384 0.250 0.125
V 0.616 0.750 0.125
V 0.750 0.116 0.375
V 0.750 0.384 0.875
V 0.884 0.750 0.625
O 0.000 0.000 0.500
O 0.000 0.500 0.750
O 0.500 0.000 0.250
O 0.500 0.500 0.000